{"formula": "Hf4AlNiN2", "functional": "GGA-PBE", "state": "optimized geometry", "space_group": "No. 187", "energy_ev_per_atom": -9.24, "volume_a3_per_atom": 15.04, "cell": [[-2.966, 0.296, -1.129], [1.136, -2.880, 0.761], [-4.701, 1.514, 12.752]], "species": ["Hf", "Hf", "Ni", "Al", "N", "Hf", "Hf", "N"], "fractional_positions": [[0.000, 0.000, 0.644], [0.667, 0.333, 0.833], [0.667, 0.333, 0.500], [0.000, 0.000, 0.000], [0.333, 0.667, 0.260], [0.667, 0.333, 0.167], [0.000, 0.000, 0.356], [0.333, 0.667, 0.740]]}

{"formula": "ZnCdBi", "functional": "GGA-PBE", "state": "optimized geometry", "space_group": "No. 216", "energy_ev_per_atom": -1.89, "volume_a3_per_atom": 26.85, "cell": [[2.268, 3.296, 2.736], [-2.510, 2.630, 3.207], [0.576, -0.775, 4.750]], "species": ["Zn", "Cd", "Bi"], "fractional_positions": [[0.750, 0.750, 0.750], [0.000, 0.000, 0.000], [0.250, 0.250, 0.250]]}

{"formula": "NdCo5P3", "functional": "GGA-PBE", "state": "optimized geometry", "space_group": "No. 62", "energy_ev_per_atom": -7.05, "volume_a3_per_atom": 12.54, "cell": [[11.815, 0.000, 0.000], [0.000, 3.684, 0.000], [0.000, 0.000, 10.373]], "species": ["Nd", "P", "P", "Co", "Co", "P", "Co", "Co", "P", "Co", "P", "P", "Co", "Co", "P", "Co", "Co", "Co", "Nd", "Co", "P", "Nd", "Co", "P", "Co", "Co", "Co", "Co", "Co", "Co", "Co", "P", "Co", "P", "Nd", "P"], "fractional_positions": [[0.202, 0.250, 0.917], [0.890, 0.750, 0.582], [0.607, 0.750, 0.395], [0.176, 0.250, 0.221], [0.010, 0.750, 0.286], [0.393, 0.250, 0.605], [0.067, 0.750, 0.531], [0.824, 0.750, 0.779], [0.390, 0.750, 0.918], [0.676, 0.250, 0.279], [0.370, 0.250, 0.225], [0.610, 0.250, 0.082], [0.567, 0.750, 0.969], [0.990, 0.250, 0.714], [0.870, 0.250, 0.275], [0.197, 0.250, 0.618], [0.510, 0.750, 0.594], [0.324, 0.750, 0.721], [0.798, 0.750, 0.083], [0.803, 0.750, 0.382], [0.630, 0.750, 0.775], [0.702, 0.250, 0.583], [0.433, 0.250, 0.031], [0.107, 0.750, 0.105], [0.990, 0.250, 0.094], [0.933, 0.250, 0.469], [0.697, 0.250, 0.882], [0.303, 0.750, 0.118], [0.010, 0.750, 0.906], [0.510, 0.750, 0.214], [0.490, 0.250, 0.406], [0.110, 0.250, 0.418], [0.490, 0.250, 0.786], [0.893, 0.250, 0.895], [0.298, 0.750, 0.417], [0.130, 0.750, 0.725]]}